Here is Zn2IrI at its PBEsol-relaxed geometry from Alexandria. Energies are from SCAN.

a = 4.5949 Å, b = 4.5949 Å, c = 4.5949 Å
α = 60.00°, β = 60.00°, γ = 60.00°
Fractional coordinates of all 4 atoms:
Zn: 0.2500 0.2500 0.2500
Zn: 0.7500 0.7500 0.7500
Ir: 0.0000 0.0000 0.0000
I: 0.5000 0.5000 0.5000

Output
E: -131.642 eV per cell
magnetization: 0.00 μB/f.u.
formation energy (no corrections): 0.807 eV per atom